Material: PrCrCl5
Method: DFT, PBE
State: optimized geometry

a b c (Å): 7.090 7.090 8.855
angles (deg): 106.98 106.98 78.92
Fractional coordinates of all 14 atoms:
Pr1 0.062 0.938 0.750
Pr2 0.938 0.062 0.250
Cr1 0.500 0.500 0.000
Cr2 0.500 0.500 0.500
Cl1 0.154 0.794 0.037
Cl2 0.206 0.846 0.463
Cl3 0.224 0.320 0.372
Cl4 0.320 0.224 0.872
Cl5 0.393 0.607 0.750
Cl6 0.607 0.393 0.250
Cl7 0.680 0.776 0.128
Cl8 0.776 0.680 0.628
Cl9 0.794 0.154 0.537
Cl10 0.846 0.206 0.963

Output
Its space-group type is C2/c. As for the energy: -5.0176 eV/atom.

Material: CrPt3Cl
Method: DFT, PBE
State: optimized geometry

a b c (Å): 4.546 4.546 4.546
angles (deg): 90.00 90.00 90.00
Fractional coordinates of all 5 atoms:
Cr1 0.000 0.000 0.000
Pt1 0.000 0.500 0.500
Pt2 0.500 0.000 0.500
Pt3 0.500 0.500 0.000
Cl1 0.500 0.500 0.500

Output
The calculation puts the energy above the lowest structure with this stoichiometry at 0.000 eV per atom. Its space-group type is Pm-3m. As for the energy: -4.9091 eV/atom.

Material: CrPtCl
Method: DFT, PBE
State: optimized geometry

a b c (Å): 2.846 5.750 6.626
angles (deg): 97.08 90.05 104.32
Fractional coordinates of all 6 atoms:
Cr1 0.000 0.000 0.000
Cr2 0.171 0.345 0.961
Pt1 0.368 0.730 0.233
Pt2 0.645 0.293 0.285
Cl1 0.425 0.851 0.753
Cl2 0.679 0.363 0.695

Output
The calculation puts the energy above the lowest structure with this stoichiometry at 0.104 eV per atom. Its space-group type is P1. As for the energy: -5.9151 eV/atom.

Material: CrPtCl2
Method: DFT, PBE
State: optimized geometry

a b c (Å): 4.521 4.521 3.408
angles (deg): 90.00 90.00 90.00
Fractional coordinates of all 4 atoms:
Cr1 0.000 0.000 0.000
Pt1 0.500 0.500 0.000
Cl1 0.000 0.500 0.500
Cl2 0.500 0.000 0.500

Output
The calculation puts the energy above the lowest structure with this stoichiometry at 0.693 eV per atom. Its space-group type is P4/mmm. As for the energy: -4.4513 eV/atom.

Material: CrPtCl
Method: DFT, PBE
State: optimized geometry

a b c (Å): 6.814 6.814 6.814
angles (deg): 154.95 154.95 35.72
Fractional coordinates of all 3 atoms:
Cr1 0.000 0.000 0.000
Pt1 0.377 0.377 0.000
Cl1 0.621 0.621 0.000

Output
The calculation puts the energy above the lowest structure with this stoichiometry at 0.175 eV per atom. Its space-group type is I4mm. As for the energy: -5.8437 eV/atom.

Material: CrPtCl2
Method: DFT, PBE
State: optimized geometry

a b c (Å): 4.818 4.818 6.929
angles (deg): 108.24 108.24 37.74
Fractional coordinates of all 4 atoms:
Cr1 0.000 0.000 0.000
Pt1 0.246 0.246 0.902
Cl1 0.445 0.445 0.721
Cl2 0.593 0.593 0.256

Output
The calculation puts the energy above the lowest structure with this stoichiometry at 0.101 eV per atom. Its space-group type is Cm. As for the energy: -5.0427 eV/atom.

Material: CrPtCl2
Method: DFT, PBE
State: optimized geometry

a b c (Å): 3.571 3.571 6.996
angles (deg): 90.00 90.00 90.00
Fractional coordinates of all 4 atoms:
Cr1 0.000 0.000 0.000
Pt1 0.500 0.500 0.109
Cl1 0.000 0.000 0.329
Cl2 0.500 0.500 0.772

Output
The calculation puts the energy above the lowest structure with this stoichiometry at 0.238 eV per atom. Its space-group type is P4mm. As for the energy: -4.9057 eV/atom.

Material: CrPtCl2
Method: DFT, PBE
State: optimized geometry

a b c (Å): 8.204 8.204 8.204
angles (deg): 21.41 21.41 21.41
Fractional coordinates of all 4 atoms:
Cr1 0.000 0.000 0.000
Pt1 0.500 0.500 0.500
Cl1 0.398 0.398 0.398
Cl2 0.602 0.602 0.602

Output
The calculation puts the energy above the lowest structure with this stoichiometry at 0.409 eV per atom. Its space-group type is R-3m. As for the energy: -4.7353 eV/atom.

Material: CrPt3Cl
Method: DFT, PBE
State: optimized geometry

a b c (Å): 4.633 4.633 4.633
angles (deg): 90.00 90.00 90.00
Fractional coordinates of all 5 atoms:
Cr1 0.000 0.000 0.000
Pt1 0.000 0.000 0.500
Pt2 0.000 0.500 0.000
Pt3 0.500 0.000 0.000
Cl1 0.500 0.500 0.500

Output
The calculation puts the energy above the lowest structure with this stoichiometry at 0.059 eV per atom. Its space-group type is Pm-3m. As for the energy: -4.8500 eV/atom.

Material: CrPtCl2
Method: DFT, PBE
State: optimized geometry

a b c (Å): 7.012 7.012 7.012
angles (deg): 154.86 141.89 46.20
Fractional coordinates of all 4 atoms:
Cr1 0.000 0.000 0.000
Pt1 0.500 0.500 0.000
Cl1 0.138 0.638 0.500
Cl2 0.862 0.362 0.500

Output
The calculation puts the energy above the lowest structure with this stoichiometry at 0.157 eV per atom. Its space-group type is Immm. As for the energy: -4.9873 eV/atom.

Material: Cr3PtCl
Method: DFT, PBE
State: optimized geometry

a b c (Å): 4.111 4.111 4.111
angles (deg): 90.00 90.00 90.00
Fractional coordinates of all 5 atoms:
Cr1 0.000 0.000 0.500
Cr2 0.000 0.500 0.000
Cr3 0.500 0.000 0.000
Pt1 0.500 0.500 0.500
Cl1 0.000 0.000 0.000

Output
The calculation puts the energy above the lowest structure with this stoichiometry at 0.000 eV per atom. Its space-group type is Pm-3m. As for the energy: -6.6019 eV/atom.

Material: Cr3PtCl
Method: DFT, PBE
State: optimized geometry

a b c (Å): 4.962 4.962 4.962
angles (deg): 90.00 90.00 90.00
Fractional coordinates of all 5 atoms:
Cr1 0.000 0.000 0.500
Cr2 0.000 0.500 0.000
Cr3 0.500 0.000 0.000
Pt1 0.000 0.000 0.000
Cl1 0.500 0.500 0.500

Output
The calculation puts the energy above the lowest structure with this stoichiometry at 0.161 eV per atom. Its space-group type is Pm-3m. As for the energy: -6.4412 eV/atom.

| no. | uncorrected formation energy (eV per atom) |
| --- | --- |
| 1 | -1.641 |
| 2 | 1.009 |
| 3 | -0.078 |
| 4 | 0.388 |
| 5 | -0.007 |
| 6 | -0.203 |
| 7 | -0.066 |
| 8 | 0.104 |
| 9 | 1.069 |
| 10 | -0.148 |
| 11 | 0.750 |
| 12 | 0.910 |